Computed, not measured: K3Pb7Au4 after structural relaxation at the PBE level of DFT.

a = 4.8961 Å, b = 9.5842 Å, c = 9.9741 Å
α = 69.21°, β = 75.79°, γ = 75.20°
Closest atoms and distances in Å follow each position.
Sites, in units of the cell vectors:
K  0.3115  0.1835  0.1935  4 Au 3.52-3.58, 10 Pb 3.56-3.86
K  0.6885  0.8165  0.8065  4 Au 3.52-3.58, 10 Pb 3.56-3.86
K  0.0000  0.5000  0.5000  6 Au 3.51-3.81, 2 Pb 3.89
Pb  0.3146  0.8372  0.5337  4 Au 2.96-3.02, 1 Pb 3.29
Pb  0.4974  0.2204  0.7848  3 Au 3.07-3.12, 3 Pb 3.29-3.43
Pb  0.8407  0.3963  0.9223  3 Au 2.95-3.04
Pb  0.6854  0.1628  0.4663  4 Au 2.96-3.02, 1 Pb 3.29
Pb  0.1593  0.6037  0.0777  3 Au 2.95-3.04
Pb  0.0000  0.0000  0.0000  2 Au 3.21, 6 Pb 3.44-3.51
Pb  0.5026  0.7796  0.2152  3 Au 3.07-3.12, 3 Pb 3.29-3.43
Au  0.6673  0.4472  0.2182  5 Pb 2.95-3.07
Au  0.3327  0.5528  0.7818  5 Pb 2.95-3.07
Au  0.8770  0.8966  0.3495  6 Pb 2.98-3.21
Au  0.1230  0.1034  0.6505  6 Pb 2.98-3.21

Properties
ΔH_f (0 K) = -0.1817 eV per atom

---

Computed, not measured: KPbAu3 after structural relaxation at the PBE level of DFT.

a = 5.4741 Å, b = 5.4741 Å, c = 5.4741 Å
α = 90.00°, β = 90.00°, γ = 90.00°
Closest atoms and distances in Å follow each position.
Sites, in units of the cell vectors:
Pb  0.0000  0.0000  0.0000  6 Au 2.74
K  0.5000  0.5000  0.5000  12 Au 3.87
Au  0.0000  0.5000  0.0000  2 Pb 2.74
Au  0.0000  0.0000  0.5000  2 Pb 2.74
Au  0.5000  0.0000  0.0000  2 Pb 2.74

Properties
excess energy over the best structure of this formula in the dataset = 0.000 eV per formula unit
ΔH_f (0 K) = 0.0263 eV per atom

---

Computed, not measured: K8PbAu2 after structural relaxation at the PBE level of DFT.

a = 6.5502 Å, b = 9.1908 Å, c = 9.1908 Å
α = 111.28°, β = 97.66°, γ = 97.66°
Closest atoms and distances in Å follow each position.
Sites, in units of the cell vectors:
K  0.9171  0.9427  0.6869  2 Au 3.46-3.53, 1 K 3.74
K  0.9171  0.6869  0.9427  2 Au 3.46-3.53, 1 K 3.74
K  0.3063  0.6353  0.6353  2 Au 3.49, 1 Pb 3.70
K  0.5000  0.7579  0.2421  2 Au 3.48, 1 Pb 3.67
K  0.5000  0.2421  0.7579  2 Au 3.48, 1 Pb 3.67
K  0.6937  0.3647  0.3647  2 Au 3.49, 1 Pb 3.70
K  0.0829  0.3131  0.0573  2 Au 3.46-3.53, 1 K 3.74
K  0.0829  0.0573  0.3131  2 Au 3.46-3.53, 1 K 3.74
Pb  0.5000  0.0000  0.0000  4 K 3.67-3.70
Au  0.0000  0.3196  0.6804  8 K 3.46-3.53
Au  0.0000  0.6804  0.3196  8 K 3.46-3.53

Properties
ΔH_f (0 K) = -0.1491 eV per atom

---

It is found that the Fermi-level density of states values, taken in the order of the records, are 0.571 0.219 0.470 states/eV/atom.